Entry 1:
NaPmPr PBE-GGA relaxed; ΔE to the lowest computed polymorph = 0.80 eV per formula unit; calculated formation energy = 0.372 eV/atom
1.0
4.9460 0.0000 0.0000
0.0000 4.9460 0.0000
0.0000 0.0000 8.7326
Pr Na Pm
2 2 2
Direct
0.5000 0.0000 0.3221
0.0000 0.5000 0.6779
0.5000 0.0000 0.7096
0.0000 0.5000 0.2904
0.5000 0.5000 0.0000
0.0000 0.0000 0.0000


Entry 2:
SrTm2Pt PBE-GGA relaxed; calculated formation energy = -0.576 eV/atom
1.0
4.1251 0.0000 0.0000
2.0626 3.5725 0.0000
2.0626 1.1908 9.4857
Sr Tm Pt
1 2 1
Direct
0.5000 0.5000 0.5000
0.2834 0.2834 0.1498
0.7166 0.7166 0.8502
0.0000 0.0000 0.0000


Entry 3:
RbMgPb PBE-GGA relaxed; ΔE to the lowest computed polymorph = 0.00 eV per formula unit; calculated formation energy = -0.130 eV/atom
1.0
5.0429 0.0000 0.0000
0.0000 5.0429 0.0000
0.0000 0.0000 8.8972
Rb Mg Pb
2 2 2
Direct
0.0000 0.5000 0.1532
0.5000 0.0000 0.8468
0.0000 0.0000 0.5000
0.5000 0.5000 0.5000
0.0000 0.5000 0.6916
0.5000 0.0000 0.3084


Repeat the second record exactly.
SrTm2Pt PBE-GGA relaxed; calculated formation energy = -0.576 eV/atom
1.0
4.1251 0.0000 0.0000
2.0626 3.5725 0.0000
2.0626 1.1908 9.4857
Sr Tm Pt
1 2 1
Direct
0.5000 0.5000 0.5000
0.2834 0.2834 0.1498
0.7166 0.7166 0.8502
0.0000 0.0000 0.0000


Q: The highest calculated formation energy belongs to which entry?
A: NaPmPr